(1)
Sr2BeZn after structural relaxation. Source: Alexandria, functional PBE.

a b c (Å): 4.9887 4.3528 5.9655
angles (deg): 90.00 114.65 90.00
Element x y z (fractional)
1 Sr 0.0000 0.0000 0.0000
2 Sr 0.2941 0.5000 0.5882
3 Be 0.6102 0.5000 0.2202
4 Zn 0.6857 0.0000 0.3711

## Properties
Formation enthalpy at 0 K   0.08 eV/atom
Polymorph energy (0 for the lowest one)   0.0 meV per atom
N(E_F)   2.72 states/eV/cell


(2)
SrBe2Zn2 after structural relaxation. Source: Alexandria, functional PBE.

a b c (Å): 5.8252 5.8252 5.8252
angles (deg): 137.50 137.50 61.67
Element x y z (fractional)
1 Sr 0.0000 0.0000 0.0000
2 Be 0.2500 0.7500 0.5000
3 Be 0.7500 0.2500 0.5000
4 Zn 0.3543 0.3543 0.0000
5 Zn 0.6457 0.6457 0.0000

## Properties
Formation enthalpy at 0 K   0.09 eV/atom
N(E_F)   2.50 states/eV/cell


(3)
SrBeZn2 after structural relaxation. Source: Alexandria, functional PBE.

a b c (Å): 5.0843 5.0843 5.0843
angles (deg): 132.54 114.33 84.95
Element x y z (fractional)
1 Sr 0.0000 0.0000 0.0000
2 Be 0.5000 0.5000 0.0000
3 Zn 0.3184 0.8184 0.5000
4 Zn 0.6816 0.1816 0.5000

## Properties
Formation enthalpy at 0 K   0.19 eV/atom
N(E_F)   1.21 states/eV/cell


(4)
Sr2BeZn after structural relaxation. Source: Alexandria, functional PBE.

a b c (Å): 7.0794 7.0794 7.0794
angles (deg): 106.91 106.91 114.73
Element x y z (fractional)
1 Sr 0.1092 0.6250 0.9842
2 Sr 0.3750 0.3592 0.4842
3 Sr 0.6408 0.1250 0.0158
4 Sr 0.8750 0.8908 0.5158
5 Be 0.0000 0.0000 0.0000
6 Be 0.7500 0.2500 0.5000
7 Zn 0.2500 0.7500 0.5000
8 Zn 0.5000 0.5000 0.0000

## Properties
Formation enthalpy at 0 K   0.51 eV/atom
Polymorph energy (0 for the lowest one)   424.0 meV per atom
N(E_F)   6.43 states/eV/cell


(5)
Sr2BeZn after structural relaxation. Source: Alexandria, functional PBE.

a b c (Å): 5.4197 5.4197 5.4197
angles (deg): 60.00 60.00 60.00
Element x y z (fractional)
1 Sr 0.2500 0.2500 0.2500
2 Sr 0.7500 0.7500 0.7500
3 Be 0.0000 0.0000 0.0000
4 Zn 0.5000 0.5000 0.5000

## Properties
Formation enthalpy at 0 K   0.19 eV/atom
Polymorph energy (0 for the lowest one)   102.9 meV per atom
N(E_F)   2.08 states/eV/cell


(6)
Sr2BeZn after structural relaxation. Source: Alexandria, functional PBE.

a b c (Å): 8.1972 8.1972 8.1972
angles (deg): 31.77 31.77 31.77
Element x y z (fractional)
1 Sr 0.2446 0.2446 0.2446
2 Sr 0.7554 0.7554 0.7554
3 Be 0.5000 0.5000 0.5000
4 Zn 0.0000 0.0000 0.0000

## Properties
Formation enthalpy at 0 K   0.36 eV/atom
Polymorph energy (0 for the lowest one)   274.0 meV per atom
N(E_F)   2.99 states/eV/cell


(7)
SrBeZn2 after structural relaxation. Source: Alexandria, functional PBE.

a b c (Å): 8.4207 8.4207 8.4207
angles (deg): 145.59 145.59 49.46
Element x y z (fractional)
1 Sr 0.3750 0.6250 0.7500
2 Sr 0.6250 0.3750 0.2500
3 Be 0.1250 0.8750 0.2500
4 Be 0.8750 0.1250 0.7500
5 Zn 0.0000 0.0000 0.0000
6 Zn 0.0000 0.0000 0.5000
7 Zn 0.0000 0.5000 0.0000
8 Zn 0.5000 0.0000 0.5000

## Properties
Formation enthalpy at 0 K   0.09 eV/atom
N(E_F)   2.33 states/eV/cell


(8)
SrBeZn after structural relaxation. Source: Alexandria, functional PBE.

a b c (Å): 4.7877 4.7877 4.7877
angles (deg): 60.00 60.00 60.00
Element x y z (fractional)
1 Sr 0.0000 0.0000 0.0000
2 Be 0.5000 0.5000 0.5000
3 Zn 0.2500 0.2500 0.2500

## Properties
Formation enthalpy at 0 K   0.49 eV/atom
Polymorph energy (0 for the lowest one)   378.7 meV per atom
N(E_F)   2.70 states/eV/cell


(9)
SrBeZn2 after structural relaxation. Source: Alexandria, functional PBE.

a b c (Å): 3.2940 3.2940 7.2555
angles (deg): 90.00 90.00 90.00
Element x y z (fractional)
1 Sr 0.0000 0.0000 0.0000
2 Be 0.5000 0.5000 0.6762
3 Zn 0.0000 0.0000 0.5543
4 Zn 0.5000 0.5000 0.3330

## Properties
Formation enthalpy at 0 K   0.23 eV/atom
N(E_F)   2.04 states/eV/cell


(10)
SrBe3Zn after structural relaxation. Source: Alexandria, functional PBE.

a b c (Å): 4.4022 4.4022 4.4022
angles (deg): 90.00 90.00 90.00
Element x y z (fractional)
1 Sr 0.0000 0.0000 0.0000
2 Be 0.0000 0.5000 0.5000
3 Be 0.5000 0.0000 0.5000
4 Be 0.5000 0.5000 0.0000
5 Zn 0.5000 0.5000 0.5000

## Properties
Formation enthalpy at 0 K   0.48 eV/atom
Polymorph energy (0 for the lowest one)   0.0 meV per atom
N(E_F)   2.71 states/eV/cell


(11)
Sr2BeZn after structural relaxation. Source: Alexandria, functional PBE.

a b c (Å): 3.8237 3.7887 7.7453
angles (deg): 90.00 90.06 90.00
Element x y z (fractional)
1 Sr 0.9996 0.0000 0.2404
2 Sr 0.0004 0.0000 0.7596
3 Be 0.5000 0.5000 0.0000
4 Zn 0.5000 0.5000 0.5000

## Properties
Formation enthalpy at 0 K   0.18 eV/atom
Polymorph energy (0 for the lowest one)   98.3 meV per atom
N(E_F)   2.29 states/eV/cell


(12)
SrBeZn3 after structural relaxation. Source: Alexandria, functional PBE.

a b c (Å): 6.1444 6.1444 6.1444
angles (deg): 90.00 90.00 90.00
Element x y z (fractional)
1 Sr 0.0000 0.0000 0.0000
2 Be 0.5000 0.5000 0.5000
3 Zn 0.0000 0.0000 0.5000
4 Zn 0.0000 0.5000 0.0000
5 Zn 0.5000 0.0000 0.0000

## Properties
Formation enthalpy at 0 K   1.32 eV/atom
Polymorph energy (0 for the lowest one)   1320.3 meV per atom
N(E_F)   4.79 states/eV/cell


Which final energy belongs to each record? In order, -2.009; -2.250; -1.802; -1.585; -1.906; -1.735; -1.896; -1.735; -1.761; -2.345; -1.910; -0.529 eV/atom.
Which size of the total moment belongs to each record? In order, 0.0; 0.0; 0.0; 0.0; 0.0; 0.0; 0.0; 0.0; 0.0; 0.0; 0.0; 0.0 μB per formula unit.